DyY3Rh, relaxed, DFT PBE; Fermi-level density of states = 12.285 states/eV/cell; E_form = -0.385 eV/atom; uncorrected energy = -6.654 eV/atom
1.0
-2.823 -0.116 2.512
-4.017 -4.489 -1.877
4.803 -8.530 7.847
Rh Y Dy
2 6 2
direct
0.780 0.314 0.125
0.428 0.358 0.785
0.781 0.046 0.391
0.990 0.110 0.910
0.446 0.955 0.152
0.098 0.175 0.630
0.431 0.624 0.515
0.768 0.709 0.755
0.115 0.492 0.277
0.223 0.554 0.999